Record 1
Material: TbMg2Hg
Method: DFT, PBE
State: optimized geometry

Distance to the lowest polymorph of the same formula = 386 meV/atom

abc: 3.2797 3.2797 33.6618
angles: 90.00 90.00 120.00
Space group R-3m (No. 166, hexagonal axes)
Inequivalent atoms, fractional coordinates:
Tb  0.0000  0.0000  0.0000 (multiplicity 3)
Mg  0.0000  0.0000  0.0961 (multiplicity 6)
Hg  0.0000  0.0000  0.5000 (multiplicity 3)

---

Record 2
Material: TbMg9Hg2
Method: DFT, PBE
State: optimized geometry

abc: 12.059 12.059 7.639
angles: 90.00 90.00 90.00
Space group I4_1/amd (No. 141, origin choice 2)
Inequivalent atoms, fractional coordinates:
Tb  0.000  0.250  0.375 (multiplicity 4)
Mg  0.000  0.250  0.875 (multiplicity 4)
Mg  0.121  0.051  0.676 (multiplicity 32)
Hg  0.000  0.000  0.000 (multiplicity 8)

---

Record 3
Material: Tb3Mg2Hg3
Method: DFT, PBE
State: optimized geometry

Distance to the lowest polymorph of the same formula = 54 meV/atom

abc: 3.713 5.266 20.907
angles: 90.00 90.00 90.00
Space group Immm (No. 71)
Inequivalent atoms, fractional coordinates:
Tb  0.000  0.000  0.000 (multiplicity 2)
Tb  0.000  0.500  0.125 (multiplicity 4)
Mg  0.000  0.000  0.238 (multiplicity 4)
Hg  0.000  0.000  0.500 (multiplicity 2)
Hg  0.000  0.500  0.373 (multiplicity 4)

---

Record 4
Material: TbMgHg2
Method: DFT, PBE
State: optimized geometry

Distance to the lowest polymorph of the same formula = 0 meV/atom

abc: 7.191 7.191 7.191
angles: 90.00 90.00 90.00
Space group Fm-3m (No. 225)
Inequivalent atoms, fractional coordinates:
Tb  0.000  0.000  0.000 (multiplicity 4)
Mg  0.000  0.000  0.500 (multiplicity 4)
Hg  0.250  0.250  0.250 (multiplicity 8)

---

Computed formation enthalpy at 0 K, in the same sequence as the records: 113 -108 -331 -461 meV per atom.